The following is a DFT calculation (PBE-GGA) of LiMgBe after structural relaxation.

Output
- Calculated formation energy: 0.165 eV/atom
- Electronic total energy: -2.247 eV/atom
- Symmetry: C2/m, No. 12
- Energy above the most stable polymorph in this dataset: 33.5 meV/atom
- Total magnetization: 0.00 μB/cell
- V: 48.67 Å³/f.u.

Cell: 9.893 3.899 5.055 Å, 90.00 93.28 90.00°
Fractional positions:
Li 0.070 0.000 0.280
Li 0.430 0.500 0.720
Li 0.570 0.500 0.280
Li 0.930 0.000 0.720
Mg 0.143 0.500 0.862
Mg 0.357 0.000 0.138
Mg 0.643 0.000 0.862
Mg 0.857 0.500 0.138
Be 0.236 0.500 0.396
Be 0.264 0.000 0.604
Be 0.736 0.000 0.396
Be 0.764 0.500 0.604